No. 1
Entry from Alexandria via LeMat-Bulk: a relaxed PuMgInNi crystal (GGA-PBE).

POSCAR file:
```
PuMgInNi
1.0
0.000 3.414 3.414
3.414 0.000 3.414
3.414 3.414 0.000
Pu Mg In Ni
1 1 1 1
direct
0.000 0.000 0.000
0.750 0.750 0.750
0.500 0.500 0.500
0.250 0.250 0.250
```

Values from the calculation:
E_form	-0.0103	eV per atom
DOS(E_F)	8.2	states/eV/f.u.
volume	19.90	A^3/atom
size of the total moment	5.03	Bohr magnetons per cell

***

No. 2
Entry from Alexandria via LeMat-Bulk: a relaxed RbMgIn2Ni crystal (GGA-PBE).

POSCAR file:
```
RbMgIn2Ni
1.0
5.106 0.000 0.000
0.000 5.106 0.000
0.000 0.000 5.176
Rb Mg In Ni
1 1 2 1
direct
0.000 0.000 0.000
0.500 0.500 0.000
0.000 0.500 0.500
0.500 0.000 0.500
0.500 0.500 0.500
```

Values from the calculation:
E_form	-0.0392	eV per atom
DOS(E_F)	2.7	states/eV/f.u.
volume	26.99	A^3/atom
size of the total moment	0.00	Bohr magnetons per cell

***

No. 3
Entry from Alexandria via LeMat-Bulk: a relaxed MgInNi2Rh crystal (GGA-PBE).

POSCAR file:
```
MgInNi2Rh
1.0
4.640 0.000 0.000
0.000 4.640 0.000
0.000 0.000 4.981
Mg In Ni Rh
1 1 2 1
direct
0.000 0.000 0.000
0.500 0.500 0.000
0.000 0.500 0.500
0.500 0.000 0.500
0.500 0.500 0.500
```

Values from the calculation:
E_form	0.6707	eV per atom
DOS(E_F)	5.8	states/eV/f.u.
volume	21.45	A^3/atom
size of the total moment	2.24	Bohr magnetons per cell

***

- The lowest size of the total moment belongs to which entry?
  RbMgIn2Ni

***

- What is the formula in the second record?
  RbMgIn2Ni